Mg2ReAu GGA-PBE optimized geometry; calculated formation energy = 0.302 eV/atom; relative energy among the computed polymorphs = 0.313 eV/atom
1.0
-0.928 1.418 4.223
-2.344 3.847 0.645
-4.267 -0.172 1.571
Re Au Mg
1 1 2
Cartesian
0.000 0.000 0.000
-3.770 2.546 3.220
-1.885 1.273 1.610
-5.654 3.819 4.830

***

Mg2ReAu GGA-PBE optimized geometry; calculated formation energy = 0.175 eV/atom; relative energy among the computed polymorphs = 0.186 eV/atom
1.0
-3.219 2.324 -2.790
-4.672 1.142 -0.646
-0.126 4.608 2.457
Mg Re Au
2 1 1
Cartesian
-4.031 4.094 -0.474
-7.994 8.018 -0.995
-6.013 6.056 -0.735
-2.004 2.019 -0.245

***

Mg4ReAu GGA-PBE optimized geometry; calculated formation energy = 0.558 eV/atom
1.0
0.000 3.794 3.794
3.794 0.000 3.794
3.794 3.794 0.000
Mg Re Au
4 1 1
Cartesian
2.851 2.851 2.851
4.737 4.737 2.851
4.737 2.851 4.737
2.851 4.737 4.737
5.691 5.691 5.691
0.000 0.000 0.000

***

MgRe2Au GGA-PBE optimized geometry; calculated formation energy = 0.313 eV/atom
1.0
5.459 0.001 0.000
2.868 4.645 0.000
-3.793 -2.988 2.547
Re Au Mg
2 1 1
Cartesian
4.193 2.339 0.000
8.298 4.630 0.000
2.915 -0.332 1.274
1.620 1.990 1.274

***

Question: What is the calculated formation energy in the fourth record?
Answer: 0.313 eV/atom